# 1
Entry from Alexandria via LeMat-Bulk: a geometry-optimized Ca2TiAl2Pt5 structure (PBE-GGA).

The space group is P4/mbm (No. 127) and the conventional cell measures 10.3728, 10.3728 and 3.3266 Å, with angles of 90.00, 90.00 and 90.00 degrees. The inequivalent atoms are Ca at (0.1749, 0.3251, 0.0000), Ti at (0.0000, 0.0000, 0.0000), Al at (0.1276, 0.6276, 0.0000), Pt at (0.0000, 0.5000, 0.5000) and Pt at (0.0540, 0.8005, 0.5000).

The formation enthalpy at 0 K comes out at -0.930 eV per atom. Its uncorrected energy is -5.889 eV per atom.

# 2
Entry from Alexandria via LeMat-Bulk: a geometry-optimized Ca2AlTlPt structure (PBE-GGA).

The space group is P4/mmm (No. 123) and the conventional cell measures 5.5654, 5.5654 and 4.7914 Å, with angles of 90.00, 90.00 and 90.00 degrees. The inequivalent atoms are Ca at (0.0000, 0.5000, 0.0000), Al at (0.0000, 0.0000, 0.5000), Tl at (0.5000, 0.5000, 0.5000) and Pt at (0.0000, 0.0000, 0.0000).

The formation enthalpy at 0 K comes out at -0.505 eV per atom. Its uncorrected energy is -3.735 eV per atom.

# 3
Entry from Alexandria via LeMat-Bulk: a geometry-optimized Ca2TmAl3Pt4 structure (PBE-GGA).

The space group is P-4m2 (No. 115) and the conventional cell measures 4.3779, 4.3779 and 10.7274 Å, with angles of 90.00, 90.00 and 90.00 degrees. The inequivalent atoms are Ca at (0.0000, 0.5000, 0.2265), Tm at (0.0000, 0.0000, 0.5000), Al at (0.0000, 0.5000, 0.8838), Al at (0.5000, 0.5000, 0.5000), Pt at (0.0000, 0.0000, 0.0000), Pt at (0.0000, 0.5000, 0.6511) and Pt at (0.5000, 0.5000, 0.0000).

The formation enthalpy at 0 K comes out at -1.010 eV per atom. Its uncorrected energy is -5.397 eV per atom.

# 4
Entry from Alexandria via LeMat-Bulk: a geometry-optimized CaAlZnPt structure (PBE-GGA).

The space group is Amm2 (No. 38) and the conventional cell measures 4.3440, 3.7696 and 9.7374 Å, with angles of 90.00, 90.00 and 90.00 degrees. The inequivalent atoms are Ca at (0.0000, 0.0000, 0.0000), Al at (0.5000, 0.0000, 0.7059), Zn at (0.0000, 0.0000, 0.2779) and Pt at (0.5000, 0.0000, 0.4149).

The formation enthalpy at 0 K comes out at -0.475 eV per atom. Its uncorrected energy is -3.739 eV per atom.

# 5
Entry from Alexandria via LeMat-Bulk: a geometry-optimized Ca2AlZn2Pt5 structure (PBE-GGA).

The space group is P4/mbm (No. 127) and the conventional cell measures 9.7402, 9.7402 and 3.6685 Å, with angles of 90.00, 90.00 and 90.00 degrees. The inequivalent atoms are Ca at (0.1737, 0.3263, 0.0000), Al at (0.0000, 0.0000, 0.0000), Zn at (0.1267, 0.6267, 0.0000), Pt at (0.0000, 0.5000, 0.5000) and Pt at (0.0624, 0.8017, 0.5000).

The formation enthalpy at 0 K comes out at -0.788 eV per atom. Its uncorrected energy is -4.838 eV per atom.

# 6
Entry from Alexandria via LeMat-Bulk: a geometry-optimized CaAlZnPt2 structure (PBE-GGA).

The space group is I-4m2 (No. 119) and the conventional cell measures 4.0550, 4.0550 and 11.5876 Å, with angles of 90.00, 90.00 and 90.00 degrees. The inequivalent atoms are Ca at (0.0000, 0.0000, 0.0000), Al at (0.0000, 0.5000, 0.2500), Zn at (0.0000, 0.5000, 0.7500) and Pt at (0.0000, 0.0000, 0.3844).

The formation enthalpy at 0 K comes out at -0.863 eV per atom. As for the distance to the lowest polymorph of the same formula: 0 meV/atom. Its uncorrected energy is -4.683 eV per atom.

| no. | D(E_F) (states/eV/cell) |
| --- | --- |
| 1 | 9.8 |
| 2 | 3.6 |
| 3 | 5.2 |
| 4 | 4.2 |
| 5 | 6.4 |
| 6 | 3.4 |